Entry from the Alexandria database: crystalline CuTeW2 at its relaxed geometry (PBE-GGA).

Formation energy without anion corrections (meV/atom): 821

Cell: 8.6482 8.6482 8.6482 Å, 20.25 20.25 20.25°
Last column: nearest neighbours and their distance in Å.
Atoms (fractional coordinates):
Cu  0.0000  0.0000  0.0000  6 W 2.71
Te  0.5000  0.5000  0.5000  6 W 2.79, 6 Te 3.04
W  0.2522  0.2522  0.2522  3 Cu 2.71, 3 Te 2.79
W  0.7478  0.7478  0.7478  3 Cu 2.71, 3 Te 2.79

=====

Entry from the Alexandria database: crystalline CuTeW3 at its relaxed geometry (PBE-GGA).

Excess energy over the best structure of this formula in the dataset (eV/atom): 0.839
Formation energy without anion corrections (meV/atom): 2730

Cell: 4.8663 4.8663 4.8663 Å, 90.00 90.00 90.00°
Last column: nearest neighbours and their distance in Å.
Atoms (fractional coordinates):
Cu  0.0000  0.0000  0.0000  12 W 3.44
Te  0.5000  0.5000  0.5000  6 W 2.43
W  0.0000  0.5000  0.5000  2 Te 2.43
W  0.5000  0.0000  0.5000  2 Te 2.43
W  0.5000  0.5000  0.0000  2 Te 2.43

=====

Entry from the Alexandria database: crystalline CuTeW2 at its relaxed geometry (PBE-GGA).

Formation energy without anion corrections (meV/atom): 668

Cell: 4.7653 4.7653 4.9191 Å, 101.78 101.78 39.80°
Last column: nearest neighbours and their distance in Å.
Atoms (fractional coordinates):
Cu  0.0000  0.0000  0.0000  5 W 2.70-2.76, 3 Te 2.72-2.96
Te  0.2325  0.2325  0.7261  3 Cu 2.72-2.96, 7 W 2.81-3.02
W  0.4685  0.4685  0.4308  3 W 2.61-2.92, 2 Cu 2.73, 1 Te 2.81
W  0.7468  0.7468  0.2140  3 W 2.61-2.92, 3 Cu 2.70-2.76, 2 Te 2.88

=====

Entry from the Alexandria database: crystalline CuTe3W at its relaxed geometry (PBE-GGA).

Excess energy over the best structure of this formula in the dataset (eV/atom): 0.000
Formation energy without anion corrections (meV/atom): 897

Cell: 5.2815 5.2815 5.2815 Å, 90.00 90.00 90.00°
Last column: nearest neighbours and their distance in Å.
Atoms (fractional coordinates):
Cu  0.0000  0.0000  0.0000  12 Te 3.73
Te  0.0000  0.5000  0.5000  2 W 2.64
Te  0.5000  0.0000  0.5000  2 W 2.64
Te  0.5000  0.5000  0.0000  2 W 2.64
W  0.5000  0.5000  0.5000  6 Te 2.64

=====

Entry from the Alexandria database: crystalline CuTeW2 at its relaxed geometry (PBE-GGA).

Formation energy without anion corrections (meV/atom): 613

Cell: 4.8562 4.8562 4.6856 Å, 98.01 98.01 38.75°
Last column: nearest neighbours and their distance in Å.
Atoms (fractional coordinates):
Cu  0.0000  0.0000  0.0000  6 W 2.69-2.82, 4 Te 2.84
Te  0.5000  0.5000  0.5000  6 W 2.76-2.99, 4 Cu 2.84
W  0.2558  0.2558  0.7823  2 W 2.61, 3 Cu 2.69-2.82, 1 Te 2.76
W  0.7442  0.7442  0.2177  2 W 2.61, 3 Cu 2.69-2.82, 1 Te 2.76

=====

Entry from the Alexandria database: crystalline CuTe6W at its relaxed geometry (PBE-GGA).

Formation energy without anion corrections (meV/atom): 113

Cell: 6.2060 6.4975 6.6736 Å, 89.85 76.05 64.24°
Last column: nearest neighbours and their distance in Å.
Atoms (fractional coordinates):
Cu  0.0000  0.0000  0.0000  4 Te 2.63-2.71
Te  0.1411  0.5773  0.8395  1 Cu 2.63, 1 W 2.74, 1 Te 2.89
Te  0.1517  0.8074  0.3324  1 W 2.69, 1 Cu 2.71, 1 Te 2.95
Te  0.4632  0.1639  0.3441  1 W 2.69, 1 Te 2.94
Te  0.5368  0.8361  0.6559  1 W 2.69, 1 Te 2.94
Te  0.8483  0.1926  0.6676  1 W 2.69, 1 Cu 2.71, 1 Te 2.95
Te  0.8589  0.4227  0.1605  1 Cu 2.63, 1 W 2.74, 1 Te 2.89
W  0.0000  0.5000  0.5000  6 Te 2.69-2.74

=====

Entry from the Alexandria database: crystalline CuTeW2 at its relaxed geometry (PBE-GGA).

Formation energy without anion corrections (meV/atom): 1028

Cell: 2.8070 2.8070 9.2573 Å, 90.00 90.00 107.78°
Last column: nearest neighbours and their distance in Å.
Atoms (fractional coordinates):
Cu  0.0000  0.0000  0.0000  4 W 2.63, 4 Cu 2.81
Te  0.0000  0.0000  0.5000  4 Te 2.81, 4 W 3.06
W  0.5000  0.5000  0.2215  2 Cu 2.63, 4 W 2.81
W  0.5000  0.5000  0.7785  2 Cu 2.63, 4 W 2.81

=====

Entry from the Alexandria database: crystalline CuTeW2 at its relaxed geometry (PBE-GGA).

Formation energy without anion corrections (meV/atom): 752

Cell: 5.3309 5.3309 5.3309 Å, 144.33 129.58 63.28°
Last column: nearest neighbours and their distance in Å.
Atoms (fractional coordinates):
Cu  0.0000  0.0000  0.0000  4 Te 2.80, 4 W 2.81
Te  0.5000  0.5000  0.0000  4 W 2.78, 4 Cu 2.80
W  0.2514  0.7514  0.5000  2 Te 2.78, 4 W 2.80, 2 Cu 2.81
W  0.7486  0.2486  0.5000  2 Te 2.78, 4 W 2.80, 2 Cu 2.81

=====

Entry from the Alexandria database: crystalline CuTeW4 at its relaxed geometry (PBE-GGA).

Formation energy without anion corrections (meV/atom): 910

Cell: 5.3575 5.3575 5.3575 Å, 60.00 60.00 60.00°
Last column: nearest neighbours and their distance in Å.
Atoms (fractional coordinates):
Cu  0.0000  0.0000  0.0000  12 W 3.13, 4 Te 3.28
Te  0.7500  0.7500  0.7500  12 W 3.15, 4 Cu 3.28
W  0.3722  0.3722  0.3722  6 W 2.62-2.74
W  0.3722  0.3722  0.8834  6 W 2.62-2.74
W  0.3722  0.8834  0.3722  6 W 2.62-2.74
W  0.8834  0.3722  0.3722  6 W 2.62-2.74

=====

Entry from the Alexandria database: crystalline CuTeW2 at its relaxed geometry (PBE-GGA).

Formation energy without anion corrections (meV/atom): 620

Cell: 2.9163 2.9163 9.1857 Å, 90.00 90.00 111.06°
Last column: nearest neighbours and their distance in Å.
Atoms (fractional coordinates):
Cu  0.0000  0.0000  0.0000  2 W 2.61, 4 Cu 2.92
Te  0.5000  0.5000  0.7144  4 Te 2.92, 2 W 3.02, 2 Cu 3.10
W  0.0000  0.0000  0.4385  2 W 2.60
W  0.5000  0.5000  0.2195  2 W 2.60, 2 Cu 2.61

=====

Entry from the Alexandria database: crystalline CuTeW2 at its relaxed geometry (PBE-GGA).

Formation energy without anion corrections (meV/atom): 755

Cell: 10.1205 10.1205 10.1205 Å, 158.08 158.08 31.19°
Last column: nearest neighbours and their distance in Å.
Atoms (fractional coordinates):
Cu  0.0000  0.0000  0.0000  4 Te 2.72, 4 W 2.76
Cu  0.7500  0.2500  0.5000  4 Te 2.72, 4 W 2.76
Te  0.2500  0.7500  0.5000  4 Cu 2.72, 4 W 2.83
Te  0.5000  0.5000  0.0000  4 Cu 2.72, 4 W 2.83
W  0.0968  0.6250  0.9718  4 W 2.57-2.88, 2 Cu 2.76, 2 Te 2.83
W  0.3750  0.3468  0.4718  4 W 2.57-2.88, 2 Cu 2.76, 2 Te 2.83
W  0.6532  0.1250  0.0282  4 W 2.57-2.88, 2 Cu 2.76, 2 Te 2.83
W  0.8750  0.9032  0.5282  4 W 2.57-2.88, 2 Cu 2.76, 2 Te 2.83

=====

Entry from the Alexandria database: crystalline CuTeW2 at its relaxed geometry (PBE-GGA).

Formation energy without anion corrections (meV/atom): 863

Cell: 3.8508 3.8508 4.5872 Å, 90.00 90.00 90.00°
Last column: nearest neighbours and their distance in Å.
Atoms (fractional coordinates):
Cu  0.0000  0.0000  0.0000  4 Te 2.72, 8 W 2.99
Te  0.5000  0.5000  0.0000  4 Cu 2.72, 8 W 2.99
W  0.0000  0.5000  0.5000  4 W 2.72, 4 Te 2.99, 4 Cu 2.99
W  0.5000  0.0000  0.5000  4 W 2.72, 4 Te 2.99, 4 Cu 2.99

=====

What are the Fermi-level density of states values for these records? In order: 1.28; 9.11; 2.82; 3.95; 1.42; 5.05; 3.96; 4.00; 5.72; 2.65; 2.86; 3.90 states/eV/cell.